Entry 1:
Density functional theory data (PBE) for an optimized crystal structure of Be2CdPd2.

total magnetization: 0.0 Bohr magnetons per cell
excess energy over the best structure of this formula in the dataset: 0 meV per atom
energy of formation: -197 kJ/mol of formula units
E_tot: -4.160 eV per atom
volume: 131 Å³/cell

Cell: 6.7898 6.7898 2.8489 Å, 90.00 90.00 90.00°
Atoms (fractional coordinates):
1 Be 0.1234 0.3766 0.0000
2 Be 0.3766 0.8766 0.0000
3 Be 0.6234 0.1234 0.0000
4 Be 0.8766 0.6234 0.0000
5 Cd 0.0000 0.0000 0.0000
6 Cd 0.5000 0.5000 0.0000
7 Pd 0.1624 0.6624 0.5000
8 Pd 0.3376 0.1624 0.5000
9 Pd 0.6624 0.8376 0.5000
10 Pd 0.8376 0.3376 0.5000

Entry 2:
Density functional theory data (PBE) for an optimized crystal structure of BeCdPd3.

total magnetization: 0.0 Bohr magnetons per cell
excess energy over the best structure of this formula in the dataset: 1486 meV per atom
energy of formation: 573 kJ/mol of formula units
E_tot: -2.855 eV per atom
volume: 119 Å³/cell

Cell: 4.9251 4.9251 4.9251 Å, 90.00 90.00 90.00°
Atoms (fractional coordinates):
1 Be 0.0000 0.0000 0.0000
2 Cd 0.5000 0.5000 0.5000
3 Pd 0.0000 0.5000 0.5000
4 Pd 0.5000 0.0000 0.5000
5 Pd 0.5000 0.5000 0.0000

Entry 3:
Density functional theory data (PBE) for an optimized crystal structure of Be2CdPd2.

total magnetization: 0.0 Bohr magnetons per cell
excess energy over the best structure of this formula in the dataset: 116 meV per atom
energy of formation: -142 kJ/mol of formula units
E_tot: -4.044 eV per atom
volume: 136 Å³/cell

Cell: 7.0472 7.0472 2.7476 Å, 90.00 90.00 90.00°
Atoms (fractional coordinates):
1 Be 0.1482 0.3518 0.0000
2 Be 0.3518 0.8518 0.0000
3 Be 0.6482 0.1482 0.0000
4 Be 0.8518 0.6482 0.0000
5 Cd 0.0000 0.0000 0.5000
6 Cd 0.5000 0.5000 0.5000
7 Pd 0.1422 0.6422 0.5000
8 Pd 0.3578 0.1422 0.5000
9 Pd 0.6422 0.8578 0.5000
10 Pd 0.8578 0.3578 0.5000